Entry 1:
{"formula": "InSi2Te6", "functional": "GGA-PBE", "state": "optimized geometry", "total_magnetization_mub_per_fu": 0.000, "raw_formation_energy_mev_per_atom": -38, "e_tot_ev_per_cell": -65.561, "dos_at_fermi_per_ev_atom": 0.512, "lattice_angstrom": [[7.029, -7.537, 0.000], [7.029, 7.537, 0.000], [-2.853, 0.000, 6.094]], "species": ["In", "In", "Si", "Si", "Si", "Si", "Te", "Te", "Te", "Te", "Te", "Te", "Te", "Te", "Te", "Te", "Te", "Te"], "fractional_positions": [[0.205, 0.795, 0.750], [0.795, 0.205, 0.250], [0.213, 0.362, 0.681], [0.362, 0.213, 0.181], [0.638, 0.787, 0.819], [0.787, 0.638, 0.319], [0.012, 0.178, 0.614], [0.142, 0.574, 0.894], [0.178, 0.012, 0.114], [0.279, 0.425, 0.381], [0.425, 0.279, 0.881], [0.426, 0.858, 0.606], [0.574, 0.142, 0.394], [0.575, 0.721, 0.119], [0.721, 0.575, 0.619], [0.822, 0.988, 0.886], [0.858, 0.426, 0.106], [0.988, 0.822, 0.386]]}

Entry 2:
{"formula": "Tb2Dy3Y2", "functional": "GGA-PBE", "state": "optimized geometry", "polymorph_energy_mev_per_atom": 62.4, "total_magnetization_mub_per_fu": 0.000, "e_tot_ev_per_cell": -70.430, "dos_at_fermi_per_ev_atom": 1.614, "ef_mev_per_atom": 111, "lattice_angstrom": [[17.410, 0.000, 0.000], [0.000, 3.507, 0.000], [-4.143, 0.000, 7.437]], "species": ["Tb", "Tb", "Tb", "Tb", "Dy", "Dy", "Dy", "Dy", "Dy", "Dy", "Y", "Y", "Y", "Y"], "fractional_positions": [[0.066, 0.000, 0.409], [0.434, 0.500, 0.591], [0.566, 0.500, 0.409], [0.934, 0.000, 0.591], [0.000, 0.500, 0.000], [0.212, 0.500, 0.302], [0.288, 0.000, 0.698], [0.500, 0.000, 0.000], [0.712, 0.000, 0.302], [0.788, 0.500, 0.698], [0.147, 0.500, 0.826], [0.353, 0.000, 0.174], [0.647, 0.000, 0.826], [0.853, 0.500, 0.174]]}

Entry 3:
{"formula": "ZnSnAsSe2", "functional": "GGA-PBE", "state": "optimized geometry", "polymorph_energy_mev_per_atom": 346.1, "total_magnetization_mub_per_fu": 1.061, "raw_formation_energy_mev_per_atom": 620, "e_tot_ev_per_cell": -13.796, "dos_at_fermi_per_ev_atom": 0.928, "lattice_angstrom": [[5.299, 0.000, 0.000], [0.000, 5.299, 0.000], [0.000, 0.000, 5.379]], "species": ["Zn", "Sn", "As", "Se", "Se"], "fractional_positions": [[0.000, 0.000, 0.000], [0.500, 0.500, 0.500], [0.500, 0.500, 0.000], [0.000, 0.500, 0.500], [0.500, 0.000, 0.500]]}

Entry 4:
{"formula": "CaPBr2", "functional": "GGA-PBE", "state": "optimized geometry", "polymorph_energy_mev_per_atom": 396.3, "total_magnetization_mub_per_fu": 2.999, "raw_formation_energy_mev_per_atom": -458, "e_tot_ev_per_cell": -50.357, "dos_at_fermi_per_ev_atom": 0.027, "lattice_angstrom": [[7.546, 0.000, 0.000], [0.000, 7.546, 0.000], [0.000, 0.000, 7.546]], "species": ["Ca", "Ca", "Ca", "Ca", "P", "P", "P", "P", "Br", "Br", "Br", "Br", "Br", "Br", "Br", "Br"], "fractional_positions": [[0.000, 0.000, 0.000], [0.000, 0.500, 0.500], [0.500, 0.000, 0.500], [0.500, 0.500, 0.000], [0.000, 0.000, 0.500], [0.000, 0.500, 0.000], [0.500, 0.000, 0.000], [0.500, 0.500, 0.500], [0.250, 0.250, 0.250], [0.250, 0.250, 0.750], [0.250, 0.750, 0.250], [0.250, 0.750, 0.750], [0.750, 0.250, 0.250], [0.750, 0.250, 0.750], [0.750, 0.750, 0.250], [0.750, 0.750, 0.750]]}

Entry 5:
{"formula": "MgAlBr2", "functional": "GGA-PBE", "state": "optimized geometry", "polymorph_energy_mev_per_atom": 258.1, "total_magnetization_mub_per_fu": 0.859, "raw_formation_energy_mev_per_atom": -380, "e_tot_ev_per_cell": -40.808, "dos_at_fermi_per_ev_atom": 0.397, "lattice_angstrom": [[8.171, 0.000, 0.000], [0.000, 8.171, 0.000], [0.000, 0.000, 6.922]], "species": ["Mg", "Mg", "Mg", "Mg", "Al", "Al", "Al", "Al", "Br", "Br", "Br", "Br", "Br", "Br", "Br", "Br"], "fractional_positions": [[0.000, 0.000, 0.000], [0.000, 0.500, 0.250], [0.500, 0.000, 0.750], [0.500, 0.500, 0.500], [0.000, 0.000, 0.500], [0.000, 0.500, 0.750], [0.500, 0.000, 0.250], [0.500, 0.500, 0.000], [0.178, 0.750, 0.125], [0.250, 0.178, 0.875], [0.250, 0.322, 0.375], [0.322, 0.750, 0.625], [0.678, 0.250, 0.625], [0.750, 0.678, 0.375], [0.750, 0.822, 0.875], [0.822, 0.250, 0.125]]}

Entry 6:
{"formula": "YHo2Tm7", "functional": "GGA-PBE", "state": "optimized geometry", "polymorph_energy_mev_per_atom": 0.0, "total_magnetization_mub_per_fu": 0.001, "e_tot_ev_per_cell": -46.377, "dos_at_fermi_per_ev_atom": 1.860, "ef_mev_per_atom": 54, "lattice_angstrom": [[-2.677, 3.474, 8.232], [2.677, -3.474, 8.232], [2.677, 3.474, -8.232]], "species": ["Y", "Ho", "Ho", "Tm", "Tm", "Tm", "Tm", "Tm", "Tm", "Tm"], "fractional_positions": [[0.000, 0.000, 0.000], [0.301, 0.801, 0.500], [0.699, 0.199, 0.500], [0.141, 0.390, 0.751], [0.200, 0.200, 0.000], [0.361, 0.610, 0.751], [0.500, 0.000, 0.500], [0.639, 0.390, 0.249], [0.800, 0.800, 0.000], [0.859, 0.610, 0.249]]}

Entry 7:
{"formula": "Rb3Nd3HoSe8", "functional": "GGA-PBE", "state": "optimized geometry", "total_magnetization_mub_per_fu": 0.000, "raw_formation_energy_mev_per_atom": -1652, "e_tot_ev_per_cell": -74.444, "dos_at_fermi_per_ev_atom": 0.779, "lattice_angstrom": [[4.297, 2.481, 8.186], [-4.297, 2.481, 8.186], [0.000, -4.961, 8.186]], "species": ["Rb", "Rb", "Rb", "Nd", "Nd", "Nd", "Ho", "Se", "Se", "Se", "Se", "Se", "Se", "Se", "Se"], "fractional_positions": [[0.000, 0.500, 0.500], [0.500, 0.000, 0.500], [0.500, 0.500, 0.000], [0.000, 0.000, 0.500], [0.000, 0.500, 0.000], [0.500, 0.000, 0.000], [0.500, 0.500, 0.500], [0.234, 0.234, 0.234], [0.240, 0.727, 0.727], [0.273, 0.273, 0.760], [0.273, 0.760, 0.273], [0.727, 0.240, 0.727], [0.727, 0.727, 0.240], [0.760, 0.273, 0.273], [0.766, 0.766, 0.766]]}

Entry 8:
{"formula": "Tb12Tl6C", "functional": "GGA-PBE", "state": "optimized geometry", "total_magnetization_mub_per_fu": 0.000, "e_tot_ev_per_cell": -83.113, "dos_at_fermi_per_ev_atom": 0.814, "ef_mev_per_atom": -217, "lattice_angstrom": [[6.098, 3.521, 4.359], [-6.098, 3.521, 4.359], [0.000, -7.041, 4.359]], "species": ["Tb", "Tb", "Tb", "Tb", "Tb", "Tb", "Tb", "Tb", "Tb", "Tb", "Tb", "Tb", "Tl", "Tl", "Tl", "Tl", "Tl", "Tl", "C"], "fractional_positions": [[0.031, 0.711, 0.925], [0.075, 0.969, 0.289], [0.201, 0.536, 0.418], [0.289, 0.075, 0.969], [0.418, 0.201, 0.536], [0.464, 0.582, 0.799], [0.536, 0.418, 0.201], [0.582, 0.799, 0.464], [0.711, 0.925, 0.031], [0.799, 0.464, 0.582], [0.925, 0.031, 0.711], [0.969, 0.289, 0.075], [0.143, 0.358, 0.745], [0.255, 0.857, 0.642], [0.358, 0.745, 0.143], [0.642, 0.255, 0.857], [0.745, 0.143, 0.358], [0.857, 0.642, 0.255], [0.000, 0.000, 0.000]]}

Entry 9:
{"formula": "PrTmSnAu", "functional": "GGA-PBE", "state": "optimized geometry", "total_magnetization_mub_per_fu": 0.621, "e_tot_ev_per_cell": -77.045, "dos_at_fermi_per_ev_atom": 0.978, "ef_mev_per_atom": -683, "lattice_angstrom": [[7.492, 0.000, 0.000], [0.000, 7.492, 0.000], [0.000, 0.000, 7.492]], "species": ["Pr", "Pr", "Pr", "Pr", "Tm", "Tm", "Tm", "Tm", "Sn", "Sn", "Sn", "Sn", "Au", "Au", "Au", "Au"], "fractional_positions": [[0.000, 0.000, 0.000], [0.000, 0.500, 0.500], [0.500, 0.000, 0.500], [0.500, 0.500, 0.000], [0.000, 0.000, 0.500], [0.000, 0.500, 0.000], [0.500, 0.000, 0.000], [0.500, 0.500, 0.500], [0.250, 0.250, 0.750], [0.250, 0.750, 0.250], [0.750, 0.250, 0.250], [0.750, 0.750, 0.750], [0.250, 0.250, 0.250], [0.250, 0.750, 0.750], [0.750, 0.250, 0.750], [0.750, 0.750, 0.250]]}

Entry 10:
{"formula": "Mn2AgSb", "functional": "GGA-PBE", "state": "optimized geometry", "total_magnetization_mub_per_fu": 7.389, "raw_formation_energy_mev_per_atom": 358, "e_tot_ev_per_cell": -47.764, "dos_at_fermi_per_ev_atom": 0.825, "lattice_angstrom": [[9.217, 0.000, 0.000], [0.000, 3.207, 0.000], [-1.252, 0.000, 4.922]], "species": ["Mn", "Mn", "Mn", "Mn", "Ag", "Ag", "Sb", "Sb"], "fractional_positions": [[0.248, 0.000, 0.256], [0.252, 0.500, 0.744], [0.748, 0.500, 0.256], [0.752, 0.000, 0.744], [0.000, 0.000, 0.500], [0.500, 0.500, 0.500], [0.000, 0.500, 0.000], [0.500, 0.000, 0.000]]}

Entry 11:
{"formula": "YMgAu4", "functional": "GGA-PBE", "state": "optimized geometry", "polymorph_energy_mev_per_atom": 0.0, "total_magnetization_mub_per_fu": 0.000, "e_tot_ev_per_cell": -50.107, "dos_at_fermi_per_ev_atom": 0.411, "ef_mev_per_atom": -648, "lattice_angstrom": [[9.619, 0.000, 0.000], [0.000, 3.694, 0.000], [-2.558, 0.000, 6.712]], "species": ["Y", "Y", "Mg", "Mg", "Au", "Au", "Au", "Au", "Au", "Au", "Au", "Au"], "fractional_positions": [[0.000, 0.000, 0.000], [0.500, 0.500, 0.000], [0.000, 0.000, 0.500], [0.500, 0.500, 0.500], [0.162, 0.500, 0.343], [0.163, 0.500, 0.814], [0.337, 0.000, 0.186], [0.338, 0.000, 0.657], [0.662, 0.000, 0.343], [0.663, 0.000, 0.814], [0.837, 0.500, 0.186], [0.838, 0.500, 0.657]]}

Entry 12:
{"formula": "Ac3Al2Zn3", "functional": "GGA-PBE", "state": "optimized geometry", "total_magnetization_mub_per_fu": 0.000, "e_tot_ev_per_cell": -52.333, "dos_at_fermi_per_ev_atom": 0.761, "ef_mev_per_atom": -317, "lattice_angstrom": [[2.380, -5.704, 0.000], [2.380, 5.704, 0.000], [0.000, 0.000, 15.661]], "species": ["Ac", "Ac", "Ac", "Ac", "Ac", "Ac", "Al", "Al", "Al", "Al", "Zn", "Zn", "Zn", "Zn", "Zn", "Zn"], "fractional_positions": [[0.097, 0.903, 0.607], [0.097, 0.903, 0.893], [0.391, 0.609, 0.750], [0.609, 0.391, 0.250], [0.903, 0.097, 0.107], [0.903, 0.097, 0.393], [0.201, 0.799, 0.097], [0.201, 0.799, 0.403], [0.799, 0.201, 0.597], [0.799, 0.201, 0.903], [0.312, 0.688, 0.250], [0.380, 0.620, 0.535], [0.380, 0.620, 0.965], [0.620, 0.380, 0.035], [0.620, 0.380, 0.465], [0.688, 0.312, 0.750]]}